# In2Co2Pd, relaxed, DFT PBE
data_In2Co2Pd
_chemical_formula_sum 'In4 Co4 Pd2'
_cell_length_a 7.242
_cell_length_b 7.242
_cell_length_c 3.042
_cell_angle_alpha 90.00
_cell_angle_beta 90.00
_cell_angle_gamma 90.00
_space_group_name_H-M_alt 'P 4/m b m'
_space_group_IT_number 127
_space_group_name_Hall '-P 4 2ab'
loop_
_atom_site_label
_atom_site_type_symbol
_atom_site_fract_x
_atom_site_fract_y
_atom_site_fract_z
In1 In 0.183 0.317 0.000
Co1 Co 0.112 0.612 0.500
Pd1 Pd 0.000 0.000 0.500
# Theoretical density, g cm⁻³: 9.45
# Uncorrected energy, eV per atom: -4.91
# Formation energy from the elements, eV/atom: 0.071
# M_tot, Bohr magnetons per cell: 4.01